Entry 1:
# GGA-PBE BaSr2Ga, relaxed
# DOS at the Fermi energy in states/eV per cell: 28.4
# ΔH_f (0 K) in eV/atom: 0.028
# E_tot in eV/cell: -32.809
# Energy above the most stable polymorph in this dataset in eV per atom: 0.213
data_BaSr2Ga
_chemical_formula_sum 'Ba4 Sr8 Ga4'
_cell_length_a 8.5586
_cell_length_b 8.5586
_cell_length_c 8.5586
_cell_angle_alpha 90.00
_cell_angle_beta 90.00
_cell_angle_gamma 90.00
_space_group_name_H-M_alt 'F m -3 m'
_space_group_IT_number 225
_space_group_name_Hall '-F 4 2 3'
loop_
_atom_site_label
_atom_site_type_symbol
_atom_site_fract_x
_atom_site_fract_y
_atom_site_fract_z
Ba1 Ba 0.0000 0.0000 0.0000
Sr1 Sr 0.2500 0.2500 0.2500
Ga1 Ga 0.0000 0.0000 0.5000

=====

Entry 2:
# GGA-PBE Ba4SrGa, relaxed
# DOS at the Fermi energy in states/eV per cell: 7.9
# ΔH_f (0 K) in eV/atom: 0.031
# E_tot in eV/cell: -12.211
data_Ba4SrGa
_chemical_formula_sum 'Ba4 Sr1 Ga1'
_cell_length_a 5.7259
_cell_length_b 5.7259
_cell_length_c 10.8499
_cell_angle_alpha 90.00
_cell_angle_beta 90.00
_cell_angle_gamma 90.00
_space_group_name_H-M_alt 'P 4/m m m'
_space_group_IT_number 123
_space_group_name_Hall '-P 4 2'
loop_
_atom_site_label
_atom_site_type_symbol
_atom_site_fract_x
_atom_site_fract_y
_atom_site_fract_z
Ba1 Ba 0.0000 0.5000 0.1799
Sr1 Sr 0.0000 0.0000 0.5000
Ga1 Ga 0.5000 0.5000 0.0000

=====

Entry 3:
# GGA-PBE BaSr2Ga, relaxed
# DOS at the Fermi energy in states/eV per cell: 14.5
# ΔH_f (0 K) in eV/atom: -0.185
# E_tot in eV/cell: -36.216
# Energy above the most stable polymorph in this dataset in eV per atom: 0.000
data_BaSr2Ga
_chemical_formula_sum 'Ba4 Sr8 Ga4'
_cell_length_a 5.7920
_cell_length_b 5.7920
_cell_length_c 20.9719
_cell_angle_alpha 90.00
_cell_angle_beta 90.00
_cell_angle_gamma 90.00
_space_group_name_H-M_alt 'I 4/m m m'
_space_group_IT_number 139
_space_group_name_Hall '-I 4 2'
loop_
_atom_site_label
_atom_site_type_symbol
_atom_site_fract_x
_atom_site_fract_y
_atom_site_fract_z
Ba1 Ba 0.0000 0.0000 0.1588
Sr1 Sr 0.0000 0.0000 0.3387
Sr2 Sr 0.0000 0.5000 0.0000
Ga1 Ga 0.0000 0.5000 0.2500

=====

Entry 4:
# GGA-PBE Ba3SrGa, relaxed
# DOS at the Fermi energy in states/eV per cell: 25.3
# ΔH_f (0 K) in eV/atom: -0.133
# E_tot in eV/cell: -44.569
# Energy above the most stable polymorph in this dataset in eV per atom: 0.000
data_Ba3SrGa
_chemical_formula_sum 'Ba12 Sr4 Ga4'
_cell_length_a 13.4977
_cell_length_b 13.4977
_cell_length_c 5.4718
_cell_angle_alpha 90.00
_cell_angle_beta 90.00
_cell_angle_gamma 90.00
_space_group_name_H-M_alt 'P 42/m n m'
_space_group_IT_number 136
_space_group_name_Hall '-P 4n 2n'
loop_
_atom_site_label
_atom_site_type_symbol
_atom_site_fract_x
_atom_site_fract_y
_atom_site_fract_z
Ba1 Ba 0.0168 0.3196 0.0000
Ba2 Ba 0.1082 0.8918 0.5000
Sr1 Sr 0.1887 0.1887 0.5000
Ga1 Ga 0.0690 0.0690 0.0000

=====

Entry 5:
# GGA-PBE Ba2Sr3Ga2, relaxed
# DOS at the Fermi energy in states/eV per cell: 15.0
# ΔH_f (0 K) in eV/atom: -0.207
# E_tot in eV/cell: -32.789
data_Ba2Sr3Ga2
_chemical_formula_sum 'Ba4 Sr6 Ga4'
_cell_length_a 15.0210
_cell_length_b 4.2419
_cell_length_c 10.5416
_cell_angle_alpha 90.00
_cell_angle_beta 116.24
_cell_angle_gamma 90.00
_space_group_name_H-M_alt 'C 1 2/m 1'
_space_group_IT_number 12
_space_group_name_Hall '-C 2y'
loop_
_atom_site_label
_atom_site_type_symbol
_atom_site_fract_x
_atom_site_fract_y
_atom_site_fract_z
Ba1 Ba 0.1635 0.0000 0.3096
Sr1 Sr 0.0000 0.5000 0.5000
Sr2 Sr 0.1240 0.5000 0.9329
Ga1 Ga 0.1741 0.0000 0.7269

=====

Entry 6:
# GGA-PBE Ba2SrGa3, relaxed
# DOS at the Fermi energy in states/eV per cell: 25.3
# ΔH_f (0 K) in eV/atom: -0.292
# E_tot in eV/cell: -65.429
data_Ba2SrGa3
_chemical_formula_sum 'Ba8 Sr4 Ga12'
_cell_length_a 16.8507
_cell_length_b 9.6766
_cell_length_c 5.2743
_cell_angle_alpha 90.00
_cell_angle_beta 90.00
_cell_angle_gamma 90.00
_space_group_name_H-M_alt 'C m c m'
_space_group_IT_number 63
_space_group_name_Hall '-C 2c 2'
loop_
_atom_site_label
_atom_site_type_symbol
_atom_site_fract_x
_atom_site_fract_y
_atom_site_fract_z
Ba1 Ba 0.1690 0.1640 0.2500
Sr1 Sr 0.0000 0.3305 0.7500
Ga1 Ga 0.0000 0.0000 0.0000
Ga2 Ga 0.1592 0.5000 0.0000

=====

- Look up the ΔH_f (0 K) of the fourth one.
  -0.133 eV/atom

=====

- Number 5 is which compound?
  Ba2Sr3Ga2

=====

- Look up the E_tot of the first one.
  -32.809 eV/cell